1.
Density functional theory data (PBEsol) for a relaxed structure of RbZnO2.

Cell lengths 6.0290, 6.0290, 7.0271 Å; angles 90.00, 90.00, 90.00 degrees
Space group I-42d (No. 122)
Unique sites:
Rb: 0.0000 0.0000 0.0000 x4
Zn: 0.0000 0.0000 0.5000 x4
O: 0.1235 0.7500 0.6250 x8

2.
Density functional theory data (PBEsol) for a relaxed structure of RbZn3O.

Cell lengths 6.7214, 6.7214, 6.7214 Å; angles 90.00, 90.00, 90.00 degrees
Space group Pm-3m (No. 221)
Unique sites:
Rb: 0.0000 0.0000 0.0000 x1
Zn: 0.0000 0.0000 0.5000 x3
O: 0.5000 0.5000 0.5000 x1

3.
Density functional theory data (PBEsol) for a relaxed structure of Rb2ZrO3.

Cell lengths 6.3186, 12.2567, 13.5149 Å; angles 90.00, 90.00, 90.00 degrees
Space group Cmce (No. 64)
Unique sites:
Rb: 0.0000 0.0545 0.1329 x8
Rb: 0.0000 0.1248 0.5766 x8
Zr: 0.0000 0.2465 0.3358 x8
O: 0.0000 0.0939 0.3679 x8
O: 0.0000 0.1618 0.9509 x8
O: 0.2500 0.2167 0.7500 x8

4.
Density functional theory data (PBEsol) for a relaxed structure of Rb2ZrO3.

Cell lengths 6.6692, 12.8818, 5.8275 Å; angles 90.00, 96.82, 90.00 degrees
Space group Cc (No. 9)
Unique sites:
Rb: 0.0000 0.0857 0.0000 x4
Rb: 0.0562 0.2609 0.5160 x4
Zr: 0.4941 0.0524 0.4990 x4
O: 0.1882 0.4767 0.7453 x4
O: 0.3012 0.0223 0.7539 x4
O: 0.4816 0.2026 0.4978 x4

5.
Density functional theory data (PBEsol) for a relaxed structure of Rb2Zr2O5.

Cell lengths 4.0553, 4.0553, 9.0054 Å; angles 90.00, 90.00, 90.00 degrees
Space group P4/mmm (No. 123)
Unique sites:
Rb: 0.0000 0.0000 0.0000 x1
Rb: 0.0000 0.0000 0.5000 x1
Zr: 0.5000 0.5000 0.2230 x2
O: 0.0000 0.5000 0.2688 x4
O: 0.5000 0.5000 0.0000 x1

6.
Density functional theory data (PBEsol) for a relaxed structure of Rb2ZrO3.

Cell lengths 5.8729, 10.7328, 7.2983 Å; angles 90.00, 90.00, 90.00 degrees
Space group Pnma (No. 62)
Unique sites:
Rb: 0.2405 0.0868 0.1082 x8
Zr: 0.2333 0.7500 0.1622 x4
O: 0.0097 0.1251 0.7394 x8
O: 0.1978 0.7500 0.9016 x4

7.
Density functional theory data (PBEsol) for a relaxed structure of ReO2.

Cell lengths 4.8927, 4.8927, 2.6928 Å; angles 90.00, 90.00, 90.00 degrees
Space group P4_2/mnm (No. 136)
Unique sites:
Re: 0.0000 0.0000 0.0000 x2
O: 0.2184 0.2184 0.5000 x4

8.
Density functional theory data (PBEsol) for a relaxed structure of ReO2.

Cell lengths 5.5044, 4.8488, 5.5819 Å; angles 90.00, 119.64, 90.00 degrees
Space group P2_1/c (No. 14)
Unique sites:
Re: 0.2335 0.0049 0.2187 x4
O: 0.1116 0.7147 0.3754 x4
O: 0.3917 0.1940 0.5890 x4

9.
Density functional theory data (PBEsol) for a relaxed structure of ReO2.

Cell lengths 4.8402, 5.6377, 4.5803 Å; angles 90.00, 90.00, 90.00 degrees
Space group Pbcn (No. 60)
Unique sites:
Re: 0.0000 0.1077 0.2500 x4
O: 0.2413 0.3597 0.0914 x8

10.
Density functional theory data (PBEsol) for a relaxed structure of ReRhO2.

Cell lengths 5.4545, 5.4545, 5.4545 Å; angles 90.00, 90.00, 90.00 degrees
Space group Fm-3m (No. 225)
Unique sites:
Re: 0.0000 0.0000 0.0000 x4
Rh: 0.0000 0.0000 0.5000 x4
O: 0.2500 0.2500 0.2500 x8

energy above the most stable polymorph in this dataset = 17.45 kcal/mol of atoms

11.
Density functional theory data (PBEsol) for a relaxed structure of ReRhO2.

Cell lengths 2.8519, 2.8519, 19.1483 Å; angles 90.00, 90.00, 120.00 degrees
Space group R-3m (No. 166, hexagonal axes)
Unique sites:
Re: 0.0000 0.0000 0.0000 x3
Rh: 0.0000 0.0000 0.5000 x3
O: 0.0000 0.0000 0.1037 x6

energy above the most stable polymorph in this dataset = 0.00 kcal/mol of atoms

12.
Density functional theory data (PBEsol) for a relaxed structure of Re2S2O13.

Cell lengths 8.4848, 9.6785, 6.1553 Å; angles 90.00, 90.00, 90.00 degrees
Space group Pba2 (No. 32)
Unique sites:
Re: 0.1762 0.1085 0.0000 x4
S: 0.1373 0.8250 0.3181 x4
O: 0.0000 0.0000 0.9255 x2
O: 0.0341 0.1490 0.2908 x4
O: 0.1087 0.2602 0.8949 x4
O: 0.1636 0.6891 0.1840 x4
O: 0.1831 0.8048 0.5372 x4
O: 0.1980 0.5494 0.8056 x4
O: 0.2304 0.9326 0.2013 x4

energy above the most stable polymorph in this dataset = 0.00 kcal/mol of atoms

| no. | ΔE_f (raw) (eV/f.u.) | total energy (eV per atom) |
| --- | --- | --- |
| 1 | -4.287 | -4.348 |
| 2 | 6.605 | -0.883 |
| 3 | -14.265 | -6.859 |
| 4 | -14.621 | -6.918 |
| 5 | -24.416 | -7.877 |
| 6 | -14.803 | -6.948 |
| 7 | -4.068 | -9.299 |
| 8 | -4.195 | -9.342 |
| 9 | -4.456 | -9.429 |
| 10 | 1.656 | -7.578 |
| 11 | -1.371 | -8.335 |
| 12 | -22.549 | -7.425 |